[1]
A relaxed Pa5Tc2Ge crystal. Source: Alexandria via LeMat-Bulk, functional PBE.

Results
Formation energy: -0.219 eV per atom
V: 22.1 Å³ per atom
Uncorrected energy: -9.3227 eV/atom
Crystal system: tetragonal
Symmetry: I4/mcm (140)
Spin magnetization: 0.0 μB per formula unit

Lattice parameters (Å, degrees): 7.698 7.698 8.074 118.47 118.47 90.00
Fractional positions:
Tc  0.364  0.864  0.000
Tc  0.636  0.136  0.000
Tc  0.136  0.364  0.000
Tc  0.864  0.636  0.000
Pa  0.817  0.992  0.308
Pa  0.508  0.683  0.692
Pa  0.183  0.008  0.692
Pa  0.500  0.500  0.000
Pa  0.008  0.508  0.692
Pa  0.317  0.817  0.308
Pa  0.992  0.492  0.308
Pa  0.492  0.317  0.308
Pa  0.683  0.183  0.692
Pa  0.000  0.000  0.000
Ge  0.250  0.250  0.500
Ge  0.750  0.750  0.500

[2]
A relaxed PaTc3Ge crystal. Source: Alexandria via LeMat-Bulk, functional PBE.

Results
Formation energy: -0.142 eV per atom
V: 17.7 Å³ per atom
Uncorrected energy: -9.1847 eV/atom
Crystal system: orthorhombic
Symmetry: Cmcm (63)
Spin magnetization: 0.0 μB per formula unit

Lattice parameters (Å, degrees): 6.182 6.182 9.591 90.00 90.00 74.61
Fractional positions:
Tc  0.828  0.435  0.250
Tc  0.345  0.655  0.000
Tc  0.909  0.909  0.600
Tc  0.091  0.091  0.100
Tc  0.091  0.091  0.400
Tc  0.565  0.172  0.750
Tc  0.435  0.828  0.250
Tc  0.655  0.345  0.500
Tc  0.172  0.565  0.750
Tc  0.909  0.909  0.900
Tc  0.655  0.345  0.000
Tc  0.345  0.655  0.500
Ge  0.000  0.500  0.000
Ge  0.000  0.500  0.500
Ge  0.500  0.000  0.500
Ge  0.500  0.000  0.000
Pa  0.138  0.138  0.750
Pa  0.354  0.354  0.250
Pa  0.862  0.862  0.250
Pa  0.646  0.646  0.750

[3]
A relaxed PaTc3Ge2 crystal. Source: Alexandria via LeMat-Bulk, functional PBE.

Results
Formation energy: -0.325 eV per atom
V: 17.5 Å³ per atom
Uncorrected energy: -8.6298 eV/atom
Crystal system: monoclinic
Symmetry: C2/m (12)
Spin magnetization: 0.0 μB per formula unit

Lattice parameters (Å, degrees): 4.218 7.921 7.469 118.21 90.00 105.44
Fractional positions:
Tc  0.043  0.087  0.387
Tc  0.957  0.913  0.613
Tc  0.592  0.183  0.666
Tc  0.706  0.413  0.484
Tc  0.294  0.587  0.516
Tc  0.408  0.817  0.334
Ge  0.525  0.051  0.186
Ge  0.798  0.596  0.263
Ge  0.475  0.949  0.814
Ge  0.202  0.404  0.737
Pa  0.857  0.715  0.945
Pa  0.143  0.285  0.055

[4]
A relaxed PaTc4Ge4 crystal. Source: Alexandria via LeMat-Bulk, functional PBE.

Results
Formation energy: -0.095 eV per atom
V: 17.3 Å³ per atom
Uncorrected energy: -7.8093 eV/atom
Crystal system: tetragonal
Symmetry: P4_2/nmc (137)
Spin magnetization: 0.0 μB per formula unit

Lattice parameters (Å, degrees): 6.244 6.244 8.006 90.00 90.00 90.00
Fractional positions:
Tc  0.243  0.000  0.635
Tc  0.000  0.757  0.365
Tc  0.743  0.500  0.865
Tc  0.500  0.257  0.135
Tc  0.257  0.500  0.865
Tc  0.757  0.000  0.635
Tc  0.500  0.743  0.135
Tc  0.000  0.243  0.365
Ge  0.696  0.000  0.328
Ge  0.304  0.000  0.328
Ge  0.000  0.304  0.672
Ge  0.500  0.804  0.828
Ge  0.196  0.500  0.172
Ge  0.500  0.196  0.828
Ge  0.000  0.696  0.672
Ge  0.804  0.500  0.172
Pa  0.000  0.000  0.000
Pa  0.500  0.500  0.500

[5]
A relaxed Pa4TcGe4 crystal. Source: Alexandria via LeMat-Bulk, functional PBE.

Results
Formation energy: -0.088 eV per atom
V: 22.8 Å³ per atom
Uncorrected energy: -7.5125 eV/atom
Crystal system: tetragonal
Symmetry: I4/m (87)
Spin magnetization: 0.0 μB per formula unit

Lattice parameters (Å, degrees): 5.760 6.629 6.629 79.12 64.25 64.25
Fractional positions:
Pa  0.759  0.656  0.825
Pa  0.585  0.175  0.656
Pa  0.415  0.825  0.344
Pa  0.241  0.344  0.175
Tc  0.000  0.000  0.000
Ge  0.291  0.634  0.785
Ge  0.076  0.215  0.634
Ge  0.709  0.366  0.215
Ge  0.924  0.785  0.366

[6]
A relaxed Pa2Tc3Ge2 crystal. Source: Alexandria via LeMat-Bulk, functional PBE.

Results
Formation energy: -0.423 eV per atom
V: 19.0 Å³ per atom
Uncorrected energy: -8.8981 eV/atom
Crystal system: monoclinic
Symmetry: C2/m (12)
Spin magnetization: 0.0 μB per formula unit

Lattice parameters (Å, degrees): 4.211 5.602 6.243 78.59 90.00 112.07
Fractional positions:
Ge  0.114  0.228  0.332
Ge  0.886  0.772  0.668
Tc  0.301  0.603  0.911
Tc  0.000  0.000  0.000
Tc  0.699  0.397  0.089
Pa  0.400  0.801  0.296
Pa  0.600  0.199  0.704

[7]
A relaxed PaTcGe3 crystal. Source: Alexandria via LeMat-Bulk, functional PBE.

Results
Formation energy: -0.113 eV per atom
V: 19.1 Å³ per atom
Uncorrected energy: -6.8557 eV/atom
Crystal system: monoclinic
Symmetry: C2/c (15)
Spin magnetization: 0.0 μB per formula unit

Lattice parameters (Å, degrees): 5.240 8.576 8.576 91.10 85.54 85.54
Fractional positions:
Ge  0.009  0.574  0.226
Ge  0.491  0.774  0.426
Ge  0.370  0.340  0.962
Ge  0.870  0.962  0.340
Ge  0.109  0.774  0.906
Ge  0.891  0.226  0.094
Ge  0.609  0.906  0.774
Ge  0.991  0.426  0.774
Ge  0.509  0.226  0.574
Ge  0.391  0.094  0.226
Ge  0.130  0.038  0.660
Ge  0.630  0.660  0.038
Tc  0.750  0.950  0.050
Tc  0.250  0.819  0.181
Tc  0.750  0.181  0.819
Tc  0.250  0.050  0.950
Pa  0.520  0.434  0.302
Pa  0.480  0.566  0.698
Pa  0.020  0.302  0.434
Pa  0.980  0.698  0.566

[8]
A relaxed PaTc3Ge3 crystal. Source: Alexandria via LeMat-Bulk, functional PBE.

Results
Formation energy: 0.597 eV per atom
V: 21.8 Å³ per atom
Uncorrected energy: -7.1810 eV/atom
Crystal system: cubic
Symmetry: Pm-3n (223)
Spin magnetization: 0.4 μB per formula unit

Lattice parameters (Å, degrees): 6.734 6.734 6.734 90.00 90.00 90.00
Fractional positions:
Ge  0.000  0.500  0.750
Ge  0.750  0.000  0.500
Ge  0.500  0.750  0.000
Ge  0.250  0.000  0.500
Ge  0.500  0.250  0.000
Ge  0.000  0.500  0.250
Tc  0.500  0.000  0.250
Tc  0.000  0.250  0.500
Tc  0.750  0.500  0.000
Tc  0.250  0.500  0.000
Tc  0.500  0.000  0.750
Tc  0.000  0.750  0.500
Pa  0.000  0.000  0.000
Pa  0.500  0.500  0.500